Record 1
## MgMoPt (PBE)

Data for crystalline MgMoPt at its relaxed geometry.

The calculation puts the formation energy at -0.305 eV/atom. As for the distance to the lowest polymorph of the same formula: 35.5 meV per atom. The density of states at the Fermi level comes out at 6.0 states/eV per cell.

Cell lengths 3.978, 4.088, 12.051 Å; angles 90.00, 92.89, 90.00 degrees
Space group Cm (No. 8)
Symmetry-distinct sites (fractional):
Mg 0.000 0.000 0.000
Mg 0.047 0.000 0.313
Mo 0.076 0.500 0.504
Mo 0.444 0.500 0.678
Pt 0.024 0.500 0.158
Pt 0.478 0.000 0.835

***

Record 2
## UPd5Au6 (PBE)

Data for crystalline UPd5Au6 at its relaxed geometry.

The calculation puts the formation energy at -0.163 eV/atom. The density of states at the Fermi level comes out at 24.0 states/eV per cell.

Cell lengths 4.117, 8.342, 12.318 Å; angles 90.00, 90.00, 90.00 degrees
Space group Immm (No. 71)
Symmetry-distinct sites (fractional):
U 0.000 0.000 0.000
Pd 0.000 0.000 0.327
Pd 0.000 0.500 0.000
Pd 0.000 0.500 0.344
Au 0.000 0.230 0.500
Au 0.000 0.262 0.170

***

Record 3
## GaAgI4 (PBE)

Data for crystalline GaAgI4 at its relaxed geometry.

The uncorrected formation energy comes out at -0.434 eV per atom. As for the distance to the lowest polymorph of the same formula: 0.0 meV per atom. The density of states at the Fermi level comes out at 0.0 states/eV per cell.

Cell lengths 6.762, 6.762, 11.558 Å; angles 90.00, 90.00, 90.00 degrees
Space group I-4 (No. 82)
Symmetry-distinct sites (fractional):
Ga 0.000 0.000 0.000
Ag 0.000 0.500 0.750
I 0.217 0.766 0.126

***

Energy? In order: -6.460 -4.906 -2.447 eV per atom.